No. 1
{"formula": "Nb2Cr2P", "functional": "PBE", "state": "optimized geometry", "lattice": [[6.434, 0.000, 0.000], [0.000, 6.434, 0.000], [0.000, 0.000, 4.208]], "species": ["Nb", "Nb", "Nb", "Nb", "Cr", "Cr", "Cr", "Cr", "P", "P"], "fractional_positions": [[0.167, 0.333, 0.000], [0.333, 0.833, 0.000], [0.667, 0.167, 0.000], [0.833, 0.667, 0.000], [0.106, 0.606, 0.500], [0.394, 0.106, 0.500], [0.606, 0.894, 0.500], [0.894, 0.394, 0.500], [0.000, 0.000, 0.000], [0.500, 0.500, 0.000]], "formation_enthalpy_0k_ev_per_fu": 1.5, "m_tot_mub_per_cell": 0.0, "mass_density_kg_m3": 6116, "e_tot_ev_per_cell": -86.52, "relative_energy_mev_per_atom": 201}

---

No. 2
{"formula": "NbCrP3", "functional": "PBE", "state": "optimized geometry", "lattice": [[4.422, 0.000, 0.000], [0.000, 4.422, 0.000], [0.000, 0.000, 4.422]], "species": ["Nb", "Cr", "P", "P", "P"], "fractional_positions": [[0.000, 0.000, 0.000], [0.500, 0.500, 0.500], [0.000, 0.500, 0.500], [0.500, 0.000, 0.500], [0.500, 0.500, 0.000]], "formation_enthalpy_0k_ev_per_fu": 3.0, "m_tot_mub_per_cell": 3.4, "mass_density_kg_m3": 4569, "e_tot_ev_per_cell": -32.96, "relative_energy_mev_per_atom": 0}

---

No. 3
{"formula": "NbCr2P2", "functional": "PBE", "state": "optimized geometry", "lattice": [[-1.856, 1.856, 4.812], [1.856, -1.856, 4.812], [1.856, 1.856, -4.812]], "species": ["Nb", "Cr", "Cr", "P", "P"], "fractional_positions": [[0.000, 0.000, 0.000], [0.250, 0.750, 0.500], [0.750, 0.250, 0.500], [0.383, 0.383, 0.000], [0.617, 0.617, 0.000]], "formation_enthalpy_0k_ev_per_fu": -1.7, "m_tot_mub_per_cell": 0.0, "mass_density_kg_m3": 6483, "e_tot_ev_per_cell": -41.87, "relative_energy_mev_per_atom": 44}

---

No. 4
{"formula": "NbCr3P", "functional": "PBE", "state": "optimized geometry", "lattice": [[4.695, 0.000, 0.000], [0.000, 4.695, 0.000], [0.000, 0.000, 4.695]], "species": ["Nb", "Cr", "Cr", "Cr", "P"], "fractional_positions": [[0.000, 0.000, 0.000], [0.000, 0.000, 0.500], [0.000, 0.500, 0.000], [0.500, 0.000, 0.000], [0.500, 0.500, 0.500]], "formation_enthalpy_0k_ev_per_fu": 8.5, "m_tot_mub_per_cell": 8.5, "mass_density_kg_m3": 4489, "e_tot_ev_per_cell": -35.81, "relative_energy_mev_per_atom": 1330}

---

No. 5
{"formula": "Nb2CrP", "functional": "PBE", "state": "optimized geometry", "lattice": [[1.545, 0.892, 8.452], [-1.545, 0.892, 8.452], [0.000, -1.784, 8.452]], "species": ["Nb", "Nb", "Cr", "P"], "fractional_positions": [[0.096, 0.096, 0.096], [0.904, 0.904, 0.904], [0.000, 0.000, 0.000], [0.500, 0.500, 0.500]], "formation_enthalpy_0k_ev_per_fu": 1.6, "m_tot_mub_per_cell": 2.3, "mass_density_kg_m3": 6388, "e_tot_ev_per_cell": -33.58}

---

No. 6
{"formula": "Nb2CrP2", "functional": "PBE", "state": "optimized geometry", "lattice": [[5.970, 0.000, 0.000], [0.000, 5.970, 0.000], [0.000, 0.000, 3.984]], "species": ["Nb", "Nb", "Nb", "Nb", "Cr", "Cr", "P", "P", "P", "P"], "fractional_positions": [[0.164, 0.336, 0.000], [0.336, 0.836, 0.000], [0.664, 0.164, 0.000], [0.836, 0.664, 0.000], [0.000, 0.000, 0.500], [0.500, 0.500, 0.500], [0.142, 0.642, 0.500], [0.358, 0.142, 0.500], [0.642, 0.858, 0.500], [0.858, 0.358, 0.500]], "formation_enthalpy_0k_ev_per_fu": -3.0, "m_tot_mub_per_cell": 0.0, "mass_density_kg_m3": 7012, "e_tot_ev_per_cell": -87.17}

---

No. 7
{"formula": "Pa2NbCr", "functional": "PBE", "state": "optimized geometry", "lattice": [[1.522, 0.879, 10.145], [-1.522, 0.879, 10.145], [0.000, -1.757, 10.145]], "species": ["Pa", "Pa", "Nb", "Cr"], "fractional_positions": [[0.095, 0.095, 0.095], [0.905, 0.905, 0.905], [0.000, 0.000, 0.000], [0.500, 0.500, 0.500]], "formation_enthalpy_0k_ev_per_fu": 2.3, "m_tot_mub_per_cell": 0.0, "mass_density_kg_m3": 12382, "e_tot_ev_per_cell": -36.40}

---

No. 8
{"formula": "PaNbCr4", "functional": "PBE", "state": "optimized geometry", "lattice": [[0.000, 3.567, 3.567], [3.567, 0.000, 3.567], [3.567, 3.567, 0.000]], "species": ["Pa", "Nb", "Cr", "Cr", "Cr", "Cr"], "fractional_positions": [[0.000, 0.000, 0.000], [0.250, 0.250, 0.250], [0.125, 0.625, 0.625], [0.625, 0.125, 0.625], [0.625, 0.625, 0.125], [0.625, 0.625, 0.625]], "formation_enthalpy_0k_ev_per_fu": 1.1, "m_tot_mub_per_cell": 0.0, "mass_density_kg_m3": 9730, "e_tot_ev_per_cell": -56.97}

---

No. 9
{"formula": "PaNbCrTc", "functional": "PBE", "state": "optimized geometry", "lattice": [[0.000, 3.268, 3.268], [3.268, 0.000, 3.268], [3.268, 3.268, 0.000]], "species": ["Pa", "Nb", "Cr", "Tc"], "fractional_positions": [[0.000, 0.000, 0.000], [0.500, 0.500, 0.500], [0.250, 0.250, 0.250], [0.750, 0.750, 0.750]], "formation_enthalpy_0k_ev_per_fu": 0.0, "m_tot_mub_per_cell": 0.0, "mass_density_kg_m3": 11271, "e_tot_ev_per_cell": -39.54}

---

No. 10
{"formula": "PaTiNbCr", "functional": "PBE", "state": "optimized geometry", "lattice": [[0.000, 3.276, 3.276], [3.276, 0.000, 3.276], [3.276, 3.276, 0.000]], "species": ["Pa", "Ti", "Nb", "Cr"], "fractional_positions": [[0.000, 0.000, 0.000], [0.500, 0.500, 0.500], [0.750, 0.750, 0.750], [0.250, 0.250, 0.250]], "formation_enthalpy_0k_ev_per_fu": 0.3, "m_tot_mub_per_cell": 0.0, "mass_density_kg_m3": 10012, "e_tot_ev_per_cell": -36.80}

---

No. 11
{"formula": "NbCrPb3", "functional": "PBE", "state": "optimized geometry", "lattice": [[5.476, 0.000, 0.000], [0.000, 5.476, 0.000], [0.000, 0.000, 5.476]], "species": ["Nb", "Cr", "Pb", "Pb", "Pb"], "fractional_positions": [[0.000, 0.000, 0.000], [0.500, 0.500, 0.500], [0.000, 0.000, 0.500], [0.000, 0.500, 0.000], [0.500, 0.000, 0.000]], "formation_enthalpy_0k_ev_per_fu": 7.4, "m_tot_mub_per_cell": 1.6, "mass_density_kg_m3": 7750, "e_tot_ev_per_cell": -23.41, "relative_energy_mev_per_atom": 270}

---

No. 12
{"formula": "NbCrPb2", "functional": "PBE", "state": "optimized geometry", "lattice": [[0.000, 3.417, 3.417], [3.417, 0.000, 3.417], [3.417, 3.417, 0.000]], "species": ["Nb", "Cr", "Pb", "Pb"], "fractional_positions": [[0.000, 0.000, 0.000], [0.500, 0.500, 0.500], [0.250, 0.250, 0.250], [0.750, 0.750, 0.750]], "formation_enthalpy_0k_ev_per_fu": 3.3, "m_tot_mub_per_cell": 0.0, "mass_density_kg_m3": 11641, "e_tot_ev_per_cell": -23.84, "relative_energy_mev_per_atom": 15}

---

No. 13
{"formula": "NbCr2Pb2", "functional": "PBE", "state": "optimized geometry", "lattice": [[7.903, 0.000, 0.000], [0.000, 7.903, 0.000], [0.000, 0.000, 3.069]], "species": ["Nb", "Nb", "Cr", "Cr", "Cr", "Cr", "Pb", "Pb", "Pb", "Pb"], "fractional_positions": [[0.000, 0.000, 0.000], [0.500, 0.500, 0.000], [0.094, 0.406, 0.500], [0.406, 0.906, 0.500], [0.594, 0.094, 0.500], [0.906, 0.594, 0.500], [0.189, 0.689, 0.000], [0.311, 0.189, 0.000], [0.689, 0.811, 0.000], [0.811, 0.311, 0.000]], "formation_enthalpy_0k_ev_per_fu": 4.2, "m_tot_mub_per_cell": 0.0, "mass_density_kg_m3": 10592, "e_tot_ev_per_cell": -65.09, "relative_energy_mev_per_atom": 64}

---

No. 14
{"formula": "NbCr2Pb2", "functional": "PBE", "state": "optimized geometry", "lattice": [[-1.618, 1.618, 9.203], [1.618, -1.618, 9.203], [1.618, 1.618, -9.203]], "species": ["Nb", "Cr", "Cr", "Pb", "Pb"], "fractional_positions": [[0.000, 0.000, 0.000], [0.250, 0.750, 0.500], [0.750, 0.250, 0.500], [0.384, 0.384, 0.000], [0.616, 0.616, 0.000]], "formation_enthalpy_0k_ev_per_fu": 3.9, "m_tot_mub_per_cell": 0.0, "mass_density_kg_m3": 10528, "e_tot_ev_per_cell": -32.86, "relative_energy_mev_per_atom": 0}

---

No. 15
{"formula": "NbCr2Pb", "functional": "PBE", "state": "optimized geometry", "lattice": [[-3.693, 3.693, 2.890], [3.693, -3.693, 2.890], [3.693, 3.693, -2.890]], "species": ["Nb", "Nb", "Cr", "Cr", "Cr", "Cr", "Pb", "Pb"], "fractional_positions": [[0.000, 0.000, 0.000], [0.750, 0.250, 0.500], [0.092, 0.625, 0.967], [0.375, 0.342, 0.467], [0.658, 0.125, 0.033], [0.875, 0.908, 0.533], [0.250, 0.750, 0.500], [0.500, 0.500, 0.000]], "formation_enthalpy_0k_ev_per_fu": 3.8, "m_tot_mub_per_cell": 10.9, "mass_density_kg_m3": 8513, "e_tot_ev_per_cell": -58.45}

---

No. 16
{"formula": "NbCrPb3", "functional": "PBE", "state": "optimized geometry", "lattice": [[5.157, 0.000, 0.000], [0.000, 5.157, 0.000], [0.000, 0.000, 5.157]], "species": ["Nb", "Cr", "Pb", "Pb", "Pb"], "fractional_positions": [[0.000, 0.000, 0.000], [0.500, 0.500, 0.500], [0.000, 0.500, 0.500], [0.500, 0.000, 0.500], [0.500, 0.500, 0.000]], "formation_enthalpy_0k_ev_per_fu": 6.1, "m_tot_mub_per_cell": 2.4, "mass_density_kg_m3": 9279, "e_tot_ev_per_cell": -24.75, "relative_energy_mev_per_atom": 0}

---

No. 17
{"formula": "NbCrPb2", "functional": "PBE", "state": "optimized geometry", "lattice": [[-3.865, 3.865, 3.090], [3.865, -3.865, 3.090], [3.865, 3.865, -3.090]], "species": ["Nb", "Nb", "Cr", "Cr", "Pb", "Pb", "Pb", "Pb"], "fractional_positions": [[0.000, 0.000, 0.000], [0.750, 0.250, 0.500], [0.250, 0.750, 0.500], [0.500, 0.500, 0.000], [0.139, 0.625, 0.014], [0.375, 0.389, 0.514], [0.611, 0.125, 0.986], [0.875, 0.861, 0.486]], "formation_enthalpy_0k_ev_per_fu": 3.2, "m_tot_mub_per_cell": 6.0, "mass_density_kg_m3": 10059, "e_tot_ev_per_cell": -47.80, "relative_energy_mev_per_atom": 0}

---

No. 18
{"formula": "NbCr3Pb", "functional": "PBE", "state": "optimized geometry", "lattice": [[4.814, 0.000, 0.000], [0.000, 4.814, 0.000], [0.000, 0.000, 4.814]], "species": ["Nb", "Cr", "Cr", "Cr", "Pb"], "fractional_positions": [[0.000, 0.000, 0.000], [0.000, 0.000, 0.500], [0.000, 0.500, 0.000], [0.500, 0.000, 0.000], [0.500, 0.500, 0.500]], "formation_enthalpy_0k_ev_per_fu": 6.9, "m_tot_mub_per_cell": 8.8, "mass_density_kg_m3": 6788, "e_tot_ev_per_cell": -35.70, "relative_energy_mev_per_atom": 0}

---

No. 19
{"formula": "ScNbCr2Pb", "functional": "PBE", "state": "optimized geometry", "lattice": [[4.811, 0.000, 0.000], [0.000, 4.811, 0.000], [0.000, 0.000, 5.169]], "species": ["Sc", "Nb", "Cr", "Cr", "Pb"], "fractional_positions": [[0.000, 0.000, 0.000], [0.500, 0.500, 0.000], [0.000, 0.500, 0.500], [0.500, 0.000, 0.500], [0.500, 0.500, 0.500]], "formation_enthalpy_0k_ev_per_fu": 9.7, "m_tot_mub_per_cell": 0.0, "mass_density_kg_m3": 6232, "e_tot_ev_per_cell": -29.63, "relative_energy_mev_per_atom": 335}

---

No. 20
{"formula": "ScNbCr2Pb", "functional": "PBE", "state": "optimized geometry", "lattice": [[4.498, 0.000, 0.000], [0.000, 4.498, 0.000], [0.000, 0.000, 5.320]], "species": ["Sc", "Nb", "Cr", "Cr", "Pb"], "fractional_positions": [[0.000, 0.000, 0.000], [0.500, 0.500, 0.500], [0.000, 0.500, 0.000], [0.500, 0.000, 0.000], [0.000, 0.000, 0.500]], "formation_enthalpy_0k_ev_per_fu": 8.1, "m_tot_mub_per_cell": 4.6, "mass_density_kg_m3": 6928, "e_tot_ev_per_cell": -31.31, "relative_energy_mev_per_atom": 0}